#1
VASP calculation (GGA-PBE) on a geometry-optimized TmLuIr structure.

Output
spin magnetization: 0.00 μB/f.u.
calculated density: 12.56 g cm⁻³

a b c (Å): 6.570 6.570 6.570
angles (deg): 90.00 90.00 90.00
Space group F-43m (No. 216)
Unique sites:
1 Tm 0.000 0.000 0.000 [4 per cell]
2 Lu 0.250 0.250 0.750 [4 per cell]
3 Ir 0.000 0.000 0.500 [4 per cell]



#2
VASP calculation (GGA-PBE) on a geometry-optimized TmLuIr structure.

Output
spin magnetization: 0.00 μB/f.u.
calculated density: 12.86 g cm⁻³

a b c (Å): 7.137 4.474 8.676
angles (deg): 90.00 90.00 90.00
Space group Pnma (No. 62)
Unique sites:
1 Tm 0.010 0.250 0.163 [4 per cell]
2 Lu 0.142 0.250 0.578 [4 per cell]
3 Ir 0.245 0.250 0.903 [4 per cell]



#3
VASP calculation (GGA-PBE) on a geometry-optimized TmLuIr structure.

Output
spin magnetization: 0.01 μB/f.u.
calculated density: 12.83 g cm⁻³

a b c (Å): 7.134 4.486 8.671
angles (deg): 90.00 90.00 90.00
Space group Pnma (No. 62)
Unique sites:
1 Tm 0.143 0.250 0.079 [4 per cell]
2 Lu 0.010 0.250 0.662 [4 per cell]
3 Ir 0.242 0.250 0.403 [4 per cell]



The structure with the least stability is #1.



#1
VASP calculation (GGA-PBE) on a geometry-optimized NaMgMoIr structure.

Output
spin magnetization: 0.00 μB/f.u.
calculated density: 8.57 g cm⁻³

a b c (Å): 6.383 6.383 6.383
angles (deg): 90.00 90.00 90.00
Space group F-43m (No. 216)
Unique sites:
1 Na 0.000 0.000 0.000 [4 per cell]
2 Mg 0.250 0.250 0.750 [4 per cell]
3 Mo 0.000 0.000 0.500 [4 per cell]
4 Ir 0.250 0.250 0.250 [4 per cell]



#2
VASP calculation (GGA-PBE) on a geometry-optimized NaMgMoIr structure.

Output
spin magnetization: 0.00 μB/f.u.
calculated density: 8.69 g cm⁻³

a b c (Å): 6.354 6.354 6.354
angles (deg): 90.00 90.00 90.00
Space group F-43m (No. 216)
Unique sites:
1 Na 0.000 0.000 0.000 [4 per cell]
2 Mg 0.250 0.250 0.250 [4 per cell]
3 Mo 0.250 0.250 0.750 [4 per cell]
4 Ir 0.000 0.000 0.500 [4 per cell]



The structure with the least stability is #1.



#1
VASP calculation (GGA-PBE) on a geometry-optimized RbMgMoIr structure.

Output
spin magnetization: 0.01 μB/f.u.
calculated density: 8.69 g cm⁻³

a b c (Å): 6.726 6.726 6.726
angles (deg): 90.00 90.00 90.00
Space group F-43m (No. 216)
Unique sites:
1 Rb 0.000 0.000 0.000 [4 per cell]
2 Mg 0.250 0.250 0.750 [4 per cell]
3 Mo 0.250 0.250 0.250 [4 per cell]
4 Ir 0.000 0.000 0.500 [4 per cell]



#2
VASP calculation (GGA-PBE) on a geometry-optimized RbMgMoIr structure.

Output
spin magnetization: 2.18 μB/f.u.
calculated density: 7.89 g cm⁻³

a b c (Å): 6.945 6.945 6.945
angles (deg): 90.00 90.00 90.00
Space group F-43m (No. 216)
Unique sites:
1 Rb 0.000 0.000 0.000 [4 per cell]
2 Mg 0.250 0.250 0.750 [4 per cell]
3 Mo 0.000 0.000 0.500 [4 per cell]
4 Ir 0.250 0.250 0.250 [4 per cell]



#3
VASP calculation (GGA-PBE) on a geometry-optimized RbMgMoIr structure.

Output
spin magnetization: 3.94 μB/f.u.
calculated density: 7.73 g cm⁻³

a b c (Å): 6.992 6.992 6.992
angles (deg): 90.00 90.00 90.00
Space group F-43m (No. 216)
Unique sites:
1 Rb 0.000 0.000 0.000 [4 per cell]
2 Mg 0.000 0.000 0.500 [4 per cell]
3 Mo 0.250 0.250 0.250 [4 per cell]
4 Ir 0.250 0.250 0.750 [4 per cell]



The structure with the least stability is #3.



#1
VASP calculation (GGA-PBE) on a geometry-optimized SrMgNbIr structure.

Output
spin magnetization: 0.00 μB/f.u.
calculated density: 7.87 g cm⁻³

a b c (Å): 6.947 6.947 6.947
angles (deg): 90.00 90.00 90.00
Space group F-43m (No. 216)
Unique sites:
1 Sr 0.000 0.000 0.000 [4 per cell]
2 Mg 0.250 0.250 0.250 [4 per cell]
3 Nb 0.000 0.000 0.500 [4 per cell]
4 Ir 0.250 0.250 0.750 [4 per cell]



#2
VASP calculation (GGA-PBE) on a geometry-optimized SrMgNbIr structure.

Output
spin magnetization: 0.00 μB/f.u.
calculated density: 8.43 g cm⁻³

a b c (Å): 6.787 6.787 6.787
angles (deg): 90.00 90.00 90.00
Space group F-43m (No. 216)
Unique sites:
1 Sr 0.000 0.000 0.000 [4 per cell]
2 Mg 0.250 0.250 0.250 [4 per cell]
3 Nb 0.250 0.250 0.750 [4 per cell]
4 Ir 0.000 0.000 0.500 [4 per cell]



#3
VASP calculation (GGA-PBE) on a geometry-optimized SrMgNbIr structure.

Output
spin magnetization: 2.61 μB/f.u.
calculated density: 7.83 g cm⁻³

a b c (Å): 6.958 6.958 6.958
angles (deg): 90.00 90.00 90.00
Space group F-43m (No. 216)
Unique sites:
1 Sr 0.000 0.000 0.000 [4 per cell]
2 Mg 0.000 0.000 0.500 [4 per cell]
3 Nb 0.250 0.250 0.750 [4 per cell]
4 Ir 0.250 0.250 0.250 [4 per cell]



The structure with the least stability is #3.



#1
VASP calculation (GGA-PBE) on a geometry-optimized Mg2Ir2O5 structure.

Output
spin magnetization: 1.12 μB/f.u.
calculated density: 8.66 g cm⁻³

a b c (Å): 3.436 3.436 8.336
angles (deg): 90.00 90.00 90.00
Space group P4/mmm (No. 123)
Unique sites:
1 Mg 0.000 0.000 0.243 [2 per cell]
2 Ir 0.500 0.500 0.000 [1 per cell]
3 Ir 0.500 0.500 0.500 [1 per cell]
4 O 0.000 0.000 0.000 [1 per cell]
5 O 0.000 0.500 0.359 [4 per cell]



#2
VASP calculation (GGA-PBE) on a geometry-optimized Mg2Ir2O5 structure.

Output
spin magnetization: 0.00 μB/f.u.
calculated density: 8.32 g cm⁻³

a b c (Å): 3.880 3.880 6.803
angles (deg): 90.00 90.00 90.00
Space group P4/mmm (No. 123)
Unique sites:
1 Mg 0.000 0.000 0.000 [1 per cell]
2 Mg 0.000 0.000 0.500 [1 per cell]
3 Ir 0.500 0.500 0.183 [2 per cell]
4 O 0.000 0.500 0.208 [4 per cell]
5 O 0.500 0.500 0.500 [1 per cell]



The structure with the least stability is #1.



#1
VASP calculation (GGA-PBE) on a geometry-optimized MgPaIr structure.

Output
spin magnetization: 0.02 μB/f.u.
calculated density: 10.58 g cm⁻³

a b c (Å): 6.550 6.550 6.550
angles (deg): 90.00 90.00 90.00
Space group F-43m (No. 216)
Unique sites:
1 Mg 0.000 0.000 0.000 [4 per cell]
2 Pa 0.000 0.000 0.500 [4 per cell]
3 Ir 0.250 0.250 0.750 [4 per cell]



#2
VASP calculation (GGA-PBE) on a geometry-optimized MgPaIr structure.

Output
spin magnetization: 0.00 μB/f.u.
calculated density: 10.21 g cm⁻³

a b c (Å): 6.627 6.627 6.627
angles (deg): 90.00 90.00 90.00
Space group F-43m (No. 216)
Unique sites:
1 Mg 0.000 0.000 0.000 [4 per cell]
2 Pa 0.250 0.250 0.750 [4 per cell]
3 Ir 0.000 0.000 0.500 [4 per cell]



The structure with the least stability is #2.